[1]
ScSiW: relaxed, PBE.

**Total moment**: 0.000 μB per atom
**E_form (uncorrected)**: -0.492 eV/atom

Unit cell a=3.821 b=3.821 c=14.317 alpha=90.00 beta=90.00 gamma=90.00
Fractional coordinates of all 12 atoms:
1 Sc 0.000 0.000 0.173
2 Sc 0.000 0.000 0.827
3 Sc 0.500 0.500 0.327
4 Sc 0.500 0.500 0.673
5 Si 0.000 0.000 0.369
6 Si 0.000 0.000 0.631
7 Si 0.500 0.500 0.131
8 Si 0.500 0.500 0.869
9 W 0.000 0.500 0.000
10 W 0.000 0.500 0.500
11 W 0.500 0.000 0.000
12 W 0.500 0.000 0.500

***

[2]
Sc2SiW: relaxed, PBE.

**Total moment**: 0.000 μB per atom
**E_form (uncorrected)**: -0.148 eV/atom

Unit cell a=3.028 b=3.769 c=6.265 alpha=90.00 beta=90.00 gamma=90.00
Fractional coordinates of all 4 atoms:
1 Sc 0.000 0.000 0.242
2 Sc 0.000 0.000 0.758
3 Si 0.500 0.500 0.000
4 W 0.500 0.500 0.500

***

[3]
ScSiW2: relaxed, PBE.

**Total moment**: 0.000 μB per atom
**E_form (uncorrected)**: 0.273 eV/atom

Unit cell a=5.493 b=8.599 c=2.759 alpha=90.00 beta=90.00 gamma=90.00
Fractional coordinates of all 8 atoms:
1 Sc 0.000 0.000 0.000
2 Sc 0.500 0.500 0.000
3 Si 0.000 0.500 0.000
4 Si 0.500 0.000 0.000
5 W 0.250 0.250 0.500
6 W 0.250 0.750 0.500
7 W 0.750 0.250 0.500
8 W 0.750 0.750 0.500

***

[4]
Sc2SiW: relaxed, PBE.

**Total moment**: 0.000 μB per atom
**E_form (uncorrected)**: -0.076 eV/atom

Unit cell a=4.063 b=4.063 c=8.605 alpha=90.00 beta=90.00 gamma=90.00
Fractional coordinates of all 8 atoms:
1 Sc 0.000 0.000 0.000
2 Sc 0.000 0.500 0.250
3 Sc 0.500 0.000 0.750
4 Sc 0.500 0.500 0.500
5 Si 0.000 0.500 0.750
6 Si 0.500 0.000 0.250
7 W 0.000 0.000 0.500
8 W 0.500 0.500 0.000

***

[5]
Sc2Si2W: relaxed, PBE.

**Total moment**: 0.000 μB per atom
**E_form (uncorrected)**: -0.605 eV/atom

Unit cell a=6.684 b=6.684 c=3.830 alpha=90.00 beta=90.00 gamma=90.00
Fractional coordinates of all 10 atoms:
1 Sc 0.176 0.324 0.000
2 Sc 0.324 0.824 0.000
3 Sc 0.676 0.176 0.000
4 Sc 0.824 0.676 0.000
5 Si 0.129 0.629 0.500
6 Si 0.371 0.129 0.500
7 Si 0.629 0.871 0.500
8 Si 0.871 0.371 0.500
9 W 0.000 0.000 0.500
10 W 0.500 0.500 0.500

***

[6]
ScSiW2: relaxed, PBE.

**Total moment**: 0.000 μB per atom
**E_form (uncorrected)**: 0.300 eV/atom

Unit cell a=2.985 b=2.985 c=26.082 alpha=90.00 beta=90.00 gamma=120.00
Fractional coordinates of all 12 atoms:
1 Sc 0.000 0.000 0.000
2 Sc 0.333 0.667 0.667
3 Sc 0.667 0.333 0.333
4 Si 0.000 0.000 0.500
5 Si 0.333 0.667 0.167
6 Si 0.667 0.333 0.833
7 W 0.000 0.000 0.241
8 W 0.000 0.000 0.759
9 W 0.333 0.667 0.425
10 W 0.333 0.667 0.908
11 W 0.667 0.333 0.092
12 W 0.667 0.333 0.575

***

[7]
ScSiW2: relaxed, PBE.

**Total moment**: 0.000 μB per atom
**E_form (uncorrected)**: 0.142 eV/atom

Unit cell a=3.079 b=3.079 c=25.241 alpha=90.00 beta=90.00 gamma=120.00
Fractional coordinates of all 12 atoms:
1 Sc 0.000 0.000 0.000
2 Sc 0.333 0.667 0.667
3 Sc 0.667 0.333 0.333
4 Si 0.000 0.000 0.756
5 Si 0.333 0.667 0.423
6 Si 0.667 0.333 0.090
7 W 0.000 0.000 0.243
8 W 0.000 0.000 0.497
9 W 0.333 0.667 0.164
10 W 0.333 0.667 0.910
11 W 0.667 0.333 0.576
12 W 0.667 0.333 0.831

***

[8]
Sc3SiW: relaxed, PBE.

**Total moment**: 0.000 μB per atom
**E_form (uncorrected)**: 0.742 eV/atom

Unit cell a=4.998 b=4.998 c=4.998 alpha=90.00 beta=90.00 gamma=90.00
Fractional coordinates of all 5 atoms:
1 Sc 0.000 0.000 0.500
2 Sc 0.000 0.500 0.000
3 Sc 0.500 0.000 0.000
4 Si 0.500 0.500 0.500
5 W 0.000 0.000 0.000

***

Question: Which of these has the lowest E_form (uncorrected)?
Answer: Sc2Si2W